Record 1
The following is a DFT calculation (PBE-GGA) of a geometry-optimized BeMo2P structure.

```
BeMo2P
1.0
3.3023 0.0000 0.0000
0.0000 3.4618 0.0000
-1.6494 0.0000 4.4320
Be Mo P
1 2 1
Direct
0.0000 0.0000 0.0000
0.2754 0.0000 0.5531
0.5634 0.5000 0.1254
0.8503 0.5000 0.7026
```

E_form (eV/atom): -0.341
Magnetic moment (μB/cell): 0.00
Space group: Pm (6)
Energy above the most stable polymorph in this dataset (eV/atom): 0.000

Record 2
The following is a DFT calculation (PBE-GGA) of a geometry-optimized BeMo2P structure.

```
BeMo2P
1.0
3.5928 0.0000 0.0000
0.0000 3.5928 0.0000
0.0000 0.0000 8.1779
Be Mo P
2 4 2
Direct
0.0000 0.0000 0.0000
0.5000 0.5000 0.5000
0.0000 0.0000 0.5000
0.0000 0.5000 0.7500
0.5000 0.0000 0.2500
0.5000 0.5000 0.0000
0.0000 0.5000 0.2500
0.5000 0.0000 0.7500
```

E_form (eV/atom): 0.016
Magnetic moment (μB/cell): 0.00
Space group: I-4m2 (119)
Energy above the most stable polymorph in this dataset (eV/atom): 0.357

Record 3
The following is a DFT calculation (PBE-GGA) of a geometry-optimized BeMo2P structure.

```
BeMo2P
1.0
2.7641 0.0000 0.0000
0.0000 3.6757 0.0000
-0.4424 0.0000 5.3079
Be Mo P
1 2 1
Direct
0.0000 0.0000 0.0000
0.3169 0.5000 0.7555
0.6831 0.5000 0.2445
0.0000 0.0000 0.5000
```

E_form (eV/atom): -0.024
Magnetic moment (μB/cell): 0.00
Space group: P2/m (10)
Energy above the most stable polymorph in this dataset (eV/atom): 0.317

Record 4
The following is a DFT calculation (PBE-GGA) of a geometry-optimized BeMoP2 structure.

```
BeMoP2
1.0
3.4011 0.0000 0.0000
0.0000 4.5824 0.0000
0.0000 0.0000 7.5734
Be Mo P
2 2 4
Direct
0.0000 0.0000 0.0000
0.5000 0.5000 0.0000
0.0000 0.5000 0.2231
0.5000 0.0000 0.2231
0.0000 0.0000 0.4570
0.0000 0.5000 0.8404
0.5000 0.0000 0.8404
0.5000 0.5000 0.4570
```

E_form (eV/atom): 0.203
Magnetic moment (μB/cell): 0.00
Space group: Cmm2 (35)